No. 1
The following is a PBE-GGA calculation of crystalline Nd2Sm4Dy2Mg at its relaxed geometry, from Alexandria via LeMat-Bulk.

a = 7.610 Å, b = 8.837 Å, c = 8.586 Å
α = 121.08°, β = 133.11°, γ = 89.87°
Fractional coordinates of all 9 atoms:
Nd: 0.312 0.795 0.425
Nd: 0.688 0.205 0.575
Sm: 0.594 0.630 0.815
Sm: 0.901 0.821 0.494
Sm: 0.406 0.370 0.185
Sm: 0.099 0.179 0.506
Dy: 0.824 0.335 0.128
Dy: 0.176 0.665 0.872
Mg: 0.000 0.000 0.000

Output
ΔE_f: 0.090 eV/atom
space-group type: P-1 (2)
V: 299 Å³ per cell
total energy: -38.40 eV per cell

No. 2
The following is a PBE-GGA calculation of crystalline Ba2HoCd3Sn4 at its relaxed geometry, from Alexandria via LeMat-Bulk.

a = 4.982 Å, b = 4.982 Å, c = 12.544 Å
α = 90.00°, β = 90.00°, γ = 90.00°
Fractional coordinates of all 10 atoms:
Ba: 0.500 0.000 0.237
Ba: 0.000 0.500 0.763
Ho: 0.500 0.500 0.500
Cd: 0.000 0.000 0.500
Cd: 0.500 0.000 0.869
Cd: 0.000 0.500 0.131
Sn: 0.500 0.500 0.000
Sn: 0.000 0.000 0.000
Sn: 0.500 0.000 0.640
Sn: 0.000 0.500 0.360

Output
ΔE_f: -0.480 eV/atom
space-group type: P-4m2 (115)
V: 311 Å³ per cell
total energy: -31.98 eV per cell

No. 3
The following is a PBE-GGA calculation of crystalline RbBa2P at its relaxed geometry, from Alexandria via LeMat-Bulk.

a = 4.702 Å, b = 4.702 Å, c = 12.248 Å
α = 89.97°, β = 90.00°, γ = 120.00°
Fractional coordinates of all 4 atoms:
Rb: 0.000 0.000 0.000
Ba: 0.667 0.334 0.361
Ba: 0.333 0.666 0.639
P: 0.000 0.000 0.500

Output
ΔE_f: -0.609 eV/atom
space-group type: P-3m1 (164)
V: 235 Å³ per cell
total energy: -12.66 eV per cell

Q: What is the formula in the first record?
A: Nd2Sm4Dy2Mg